# CaCdIn2 | Alexandria via LeMat-Bulk | PBE-GGA | optimized geometry
data_CaCdIn2
_space_group_name_H-M_alt 'P 1'
_space_group_IT_number 1
_space_group_name_Hall 'P 1'
_cell_length_a 5.936
_cell_length_b 6.315
_cell_length_c 3.432
_cell_angle_alpha 76.83
_cell_angle_beta 84.63
_cell_angle_gamma 116.40
loop_
_atom_site_label
_atom_site_type_symbol
_atom_site_fract_x
_atom_site_fract_y
_atom_site_fract_z
_atom_site_occupancy
Ca1 Ca 0.000 0.500 0.500 1
Cd1 Cd 0.500 0.500 0.000 1
In1 In 0.000 0.000 0.000 1
In2 In 0.500 0.000 0.500 1
# - ΔH_f (0 K) (eV/f.u.) = -0.66
# - M_tot (μB per cell) = 0.00
# - crystal system = monoclinic

=====

# Er8Cd2Cu | Alexandria via LeMat-Bulk | PBE-GGA | optimized geometry
data_Er8Cd2Cu
_space_group_name_H-M_alt 'P 1'
_space_group_IT_number 1
_space_group_name_Hall 'P 1'
_cell_length_a 5.215
_cell_length_b 6.804
_cell_length_c 9.207
_cell_angle_alpha 106.52
_cell_angle_beta 106.45
_cell_angle_gamma 90.00
loop_
_atom_site_label
_atom_site_type_symbol
_atom_site_fract_x
_atom_site_fract_y
_atom_site_fract_z
_atom_site_occupancy
Er1 Er 0.409 0.558 0.817 1
Er2 Er 0.655 0.961 0.310 1
Er3 Er 0.801 0.704 0.602 1
Er4 Er 0.979 0.222 0.958 1
Er5 Er 0.199 0.296 0.398 1
Er6 Er 0.345 0.039 0.690 1
Er7 Er 0.591 0.442 0.183 1
Er8 Er 0.021 0.778 0.042 1
Cd1 Cd 0.814 0.279 0.629 1
Cd2 Cd 0.186 0.721 0.371 1
Cu1 Cu 0.500 0.000 0.000 1
# - ΔH_f (0 K) (eV/f.u.) = -1.13
# - M_tot (μB per cell) = 0.00
# - crystal system = monoclinic

=====

# HgP2RuS | Alexandria via LeMat-Bulk | PBE-GGA | optimized geometry
data_HgP2RuS
_space_group_name_H-M_alt 'P 1'
_space_group_IT_number 1
_space_group_name_Hall 'P 1'
_cell_length_a 4.451
_cell_length_b 4.451
_cell_length_c 5.319
_cell_angle_alpha 90.00
_cell_angle_beta 90.00
_cell_angle_gamma 90.00
loop_
_atom_site_label
_atom_site_type_symbol
_atom_site_fract_x
_atom_site_fract_y
_atom_site_fract_z
_atom_site_occupancy
Ru1 Ru 0.000 0.000 0.000 1
S1 S 0.000 0.000 0.500 1
Hg1 Hg 0.500 0.500 0.500 1
P1 P 0.000 0.500 0.000 1
P2 P 0.500 0.000 0.000 1
# - formation energy (no corrections) (kJ/mol of formula units) = 230
# - excess energy over the best structure of this formula in the dataset (eV per atom) = 0.0000
# - M_tot (μB per cell) = 0.00
# - crystal system = tetragonal

=====

# Ca3Pm2TaN6 | Alexandria via LeMat-Bulk | PBE-GGA | optimized geometry
data_Ca3Pm2TaN6
_space_group_name_H-M_alt 'P 1'
_space_group_IT_number 1
_space_group_name_Hall 'P 1'
_cell_length_a 6.015
_cell_length_b 6.015
_cell_length_c 6.023
_cell_angle_alpha 99.57
_cell_angle_beta 99.57
_cell_angle_gamma 120.08
loop_
_atom_site_label
_atom_site_type_symbol
_atom_site_fract_x
_atom_site_fract_y
_atom_site_fract_z
_atom_site_occupancy
Ca1 Ca 0.161 0.839 0.500 1
Ca2 Ca 0.839 0.161 0.500 1
Ca3 Ca 0.500 0.500 0.500 1
Pm1 Pm 0.333 0.667 0.000 1
Pm2 Pm 0.667 0.333 0.000 1
Ta1 Ta 0.000 0.000 0.000 1
N1 N 0.926 0.629 0.776 1
N2 N 0.776 0.776 0.219 1
N3 N 0.074 0.371 0.224 1
N4 N 0.629 0.926 0.776 1
N5 N 0.224 0.224 0.781 1
N6 N 0.371 0.074 0.224 1
# - formation energy (no corrections) (kJ/mol of formula units) = -1326
# - M_tot (μB per cell) = 0.00
# - crystal system = monoclinic

=====

# TiOs2Br | Alexandria via LeMat-Bulk | PBE-GGA | optimized geometry
data_TiOs2Br
_space_group_name_H-M_alt 'P 1'
_space_group_IT_number 1
_space_group_name_Hall 'P 1'
_cell_length_a 5.354
_cell_length_b 5.354
_cell_length_c 7.163
_cell_angle_alpha 68.05
_cell_angle_beta 68.05
_cell_angle_gamma 90.00
loop_
_atom_site_label
_atom_site_type_symbol
_atom_site_fract_x
_atom_site_fract_y
_atom_site_fract_z
_atom_site_occupancy
Os1 Os 0.628 0.125 0.250 1
Os2 Os 0.122 0.625 0.250 1
Os3 Os 0.375 0.372 0.750 1
Os4 Os 0.875 0.878 0.750 1
Br1 Br 0.000 0.000 0.000 1
Br2 Br 0.750 0.250 0.500 1
Ti1 Ti 0.500 0.500 0.000 1
Ti2 Ti 0.250 0.750 0.500 1
# - formation energy (no corrections) (kJ/mol of formula units) = 525
# - excess energy over the best structure of this formula in the dataset (eV per atom) = 0.4631
# - M_tot (μB per cell) = 0.00
# - crystal system = tetragonal

=====

# Ac2Nd3TaN6 | Alexandria via LeMat-Bulk | PBE-GGA | optimized geometry
data_Ac2Nd3TaN6
_space_group_name_H-M_alt 'P 1'
_space_group_IT_number 1
_space_group_name_Hall 'P 1'
_cell_length_a 6.370
_cell_length_b 6.370
_cell_length_c 6.164
_cell_angle_alpha 99.58
_cell_angle_beta 99.58
_cell_angle_gamma 120.50
loop_
_atom_site_label
_atom_site_type_symbol
_atom_site_fract_x
_atom_site_fract_y
_atom_site_fract_z
_atom_site_occupancy
Ac1 Ac 0.332 0.668 0.000 1
Ac2 Ac 0.668 0.332 0.000 1
Nd1 Nd 0.157 0.843 0.500 1
Nd2 Nd 0.843 0.157 0.500 1
Nd3 Nd 0.500 0.500 0.500 1
Ta1 Ta 0.000 0.000 0.000 1
N1 N 0.924 0.646 0.776 1
N2 N 0.788 0.788 0.238 1
N3 N 0.076 0.354 0.224 1
N4 N 0.646 0.924 0.776 1
N5 N 0.212 0.212 0.762 1
N6 N 0.354 0.076 0.224 1
# - formation energy (no corrections) (kJ/mol of formula units) = -1343
# - M_tot (μB per cell) = 0.00
# - crystal system = monoclinic

=====

# CaTe2Os | Alexandria via LeMat-Bulk | PBE-GGA | optimized geometry
data_CaTe2Os
_space_group_name_H-M_alt 'P 1'
_space_group_IT_number 1
_space_group_name_Hall 'P 1'
_cell_length_a 6.738
_cell_length_b 6.738
_cell_length_c 6.038
_cell_angle_alpha 52.64
_cell_angle_beta 52.64
_cell_angle_gamma 34.00
loop_
_atom_site_label
_atom_site_type_symbol
_atom_site_fract_x
_atom_site_fract_y
_atom_site_fract_z
_atom_site_occupancy
Ca1 Ca 0.586 0.586 0.520 1
Te1 Te 0.902 0.902 0.106 1
Te2 Te 0.720 0.720 0.856 1
Os1 Os 0.292 0.292 0.018 1
# - formation energy (no corrections) (kJ/mol of formula units) = -77
# - excess energy over the best structure of this formula in the dataset (eV per atom) = 0.1800
# - M_tot (μB per cell) = 0.00
# - crystal system = monoclinic

=====

# NaAcDy | Alexandria via LeMat-Bulk | PBE-GGA | optimized geometry
data_NaAcDy
_space_group_name_H-M_alt 'P 1'
_space_group_IT_number 1
_space_group_name_Hall 'P 1'
_cell_length_a 5.679
_cell_length_b 5.671
_cell_length_c 10.113
_cell_angle_alpha 89.77
_cell_angle_beta 73.78
_cell_angle_gamma 59.97
loop_
_atom_site_label
_atom_site_type_symbol
_atom_site_fract_x
_atom_site_fract_y
_atom_site_fract_z
_atom_site_occupancy
Na1 Na 0.575 0.982 0.680 1
Na2 Na 0.756 0.394 0.902 1
Ac1 Ac 0.041 0.249 0.481 1
Ac2 Ac 0.291 0.127 0.101 1
Dy1 Dy 0.839 0.851 0.281 1
Dy2 Dy 0.492 0.525 0.300 1
# - excess energy over the best structure of this formula in the dataset (eV per atom) = 0.2404
# - ΔH_f (0 K) (eV/f.u.) = 1.00
# - M_tot (μB per cell) = 0.00
# - crystal system = triclinic

=====

- Number 4 is which compound?
  Ca3Pm2TaN6

=====

- Look up the M_tot of the eighth one.
  0.00 μB per cell